VASP calculation (PBE-GGA) on a relaxed structure of TaNiH3.

Cell and atoms, written as extended XYZ:
```
10
Lattice="-1.448 -2.637 -0.271 4.301 -2.141 -2.150 0.998 0.650 5.169" Properties=species:S:1:pos:R:3 pbc="T T T"
Ta 0.866 -2.221 0.151
Ta 2.985 -1.907 2.597
Ni 0.153 -2.130 3.074
Ni 3.698 -1.998 -0.326
H 3.098 -3.736 2.955
H 0.753 -0.392 -0.207
H 4.419 -2.552 1.212
H -0.569 -1.576 1.536
H 2.549 -1.480 0.777
H 1.302 -2.648 1.971
```

Total magnetization, μB/atom: 0.00
E, eV per atom: -5.572